# PBE Sm6Ga3N, optimized geometry
# V: 252 Å³/f.u.
# Theoretical density: 7.43 g/cm³
# Formation energy from raw total energies: -0.552 eV/atom
# E_tot: -5.12 eV/atom
# Density of states at the Fermi level: 18.23 states/eV per cell
data_Sm6Ga3N
_chemical_formula_sum 'Sm12 Ga6 N2'
_symmetry_space_group_name_H-M 'C 1 2/m 1'
_symmetry_Int_Tables_number 12
_symmetry_space_group_name_Hall '-C 2y'
_cell_length_a 11.5858
_cell_length_b 6.6902
_cell_length_c 6.5330
_cell_angle_alpha 90.00
_cell_angle_beta 96.54
_cell_angle_gamma 90.00
loop_
_atom_site_label
_atom_site_fract_x
_atom_site_fract_y
_atom_site_fract_z
Sm1 0.1151 0.2464 0.3470
Sm2 0.1373 0.0000 0.8501
Ga1 0.0000 0.5000 0.0000
Ga2 0.1614 0.5000 0.7574
N1 0.0000 0.0000 0.5000

# PBE CoAsPt2, optimized geometry
# V: 59 Å³/f.u.
# Theoretical density: 14.73 g/cm³
# E_tot: -6.02 eV/atom
# Density of states at the Fermi level: 8.16 states/eV per cell
data_CoAsPt2
_chemical_formula_sum 'Co2 As2 Pt4'
_symmetry_space_group_name_H-M 'A m m 2'
_symmetry_Int_Tables_number 38
_symmetry_space_group_name_Hall 'A 2 -2'
_cell_length_a 3.6200
_cell_length_b 2.8267
_cell_length_c 11.5445
_cell_angle_alpha 90.00
_cell_angle_beta 90.00
_cell_angle_gamma 90.00
loop_
_atom_site_label
_atom_site_fract_x
_atom_site_fract_y
_atom_site_fract_z
Co1 0.0000 0.0000 0.0000
As1 0.5000 0.0000 0.4255
Pt1 0.0000 0.0000 0.2783
Pt2 0.5000 0.0000 0.6380

# PBE Sr2UO4, optimized geometry
# V: 126 Å³/f.u.
# Theoretical density: 6.29 g/cm³
# Formation energy from raw total energies: -2.866 eV/atom
# Relative energy among the computed polymorphs: 0.147 eV per atom
# E_tot: -7.79 eV/atom
# Density of states at the Fermi level: 11.02 states/eV per cell
data_Sr2UO4
_chemical_formula_sum 'Sr4 U2 O8'
_symmetry_space_group_name_H-M 'I 4/m m m'
_symmetry_Int_Tables_number 139
_symmetry_space_group_name_Hall '-I 4 2'
_cell_length_a 4.4192
_cell_length_b 4.4192
_cell_length_c 12.9091
_cell_angle_alpha 90.00
_cell_angle_beta 90.00
_cell_angle_gamma 90.00
loop_
_atom_site_label
_atom_site_fract_x
_atom_site_fract_y
_atom_site_fract_z
Sr1 0.0000 0.0000 0.1478
U1 0.0000 0.0000 0.5000
O1 0.0000 0.0000 0.3302
O2 0.0000 0.5000 0.0000

# PBE ZrPbBr, optimized geometry
# V: 83 Å³/f.u.
# Theoretical density: 7.56 g/cm³
# Formation energy from raw total energies: 0.432 eV/atom
# Relative energy among the computed polymorphs: 0.983 eV per atom
# E_tot: -4.21 eV/atom
# Density of states at the Fermi level: 14.82 states/eV per cell
data_ZrPbBr
_chemical_formula_sum 'Zr4 Pb4 Br4'
_symmetry_space_group_name_H-M 'F -4 3 m'
_symmetry_Int_Tables_number 216
_symmetry_space_group_name_Hall 'F -4 2 3'
_cell_length_a 6.9283
_cell_length_b 6.9283
_cell_length_c 6.9283
_cell_angle_alpha 90.00
_cell_angle_beta 90.00
_cell_angle_gamma 90.00
loop_
_atom_site_label
_atom_site_fract_x
_atom_site_fract_y
_atom_site_fract_z
Zr1 0.0000 0.0000 0.0000
Pb1 0.0000 0.0000 0.5000
Br1 0.2500 0.2500 0.2500

# PBE AcDy2Y12, optimized geometry
# V: 500 Å³/f.u.
# Theoretical density: 5.37 g/cm³
# E_tot: -5.94 eV/atom
# Density of states at the Fermi level: 96.20 states/eV per cell
data_AcDy2Y12
_chemical_formula_sum 'Ac4 Dy8 Y48'
_symmetry_space_group_name_H-M 'C 1 2/m 1'
_symmetry_Int_Tables_number 12
_symmetry_space_group_name_Hall '-C 2y'
_cell_length_a 7.2277
_cell_length_b 11.2957
_cell_length_c 24.5730
_cell_angle_alpha 90.00
_cell_angle_beta 94.20
_cell_angle_gamma 90.00
loop_
_atom_site_label
_atom_site_fract_x
_atom_site_fract_y
_atom_site_fract_z
Ac1 0.2502 0.0000 0.0005
Dy1 0.0670 0.0000 0.2749
Dy2 0.0716 0.5000 0.2752
Y1 0.0195 0.2500 0.0782
Y2 0.1123 0.2528 0.4456
Y3 0.1406 0.0000 0.5759
Y4 0.1454 0.5000 0.5723
Y5 0.1663 0.2521 0.6682
Y6 0.1986 0.2489 0.7956
Y7 0.2144 0.0000 0.8578
Y8 0.2140 0.5000 0.8564

# PBE CsAgAsBr2, optimized geometry
# V: 171 Å³/f.u.
# Theoretical density: 4.62 g/cm³
# Formation energy from raw total energies: -0.398 eV/atom
# Relative energy among the computed polymorphs: 0.000 eV per atom
# E_tot: -2.74 eV/atom
# Density of states at the Fermi level: 2.81 states/eV per cell
data_CsAgAsBr2
_chemical_formula_sum 'Cs1 Ag1 As1 Br2'
_symmetry_space_group_name_H-M 'P 4/m m m'
_symmetry_Int_Tables_number 123
_symmetry_space_group_name_Hall '-P 4 2'
_cell_length_a 5.7767
_cell_length_b 5.7767
_cell_length_c 5.1243
_cell_angle_alpha 90.00
_cell_angle_beta 90.00
_cell_angle_gamma 90.00
loop_
_atom_site_label
_atom_site_fract_x
_atom_site_fract_y
_atom_site_fract_z
Cs1 0.0000 0.0000 0.0000
Ag1 0.5000 0.5000 0.5000
As1 0.5000 0.5000 0.0000
Br1 0.0000 0.5000 0.5000

# PBE SrAcMg10, optimized geometry
# V: 332 Å³/f.u.
# Theoretical density: 2.79 g/cm³
# E_tot: -1.87 eV/atom
# Density of states at the Fermi level: 7.32 states/eV per cell
data_SrAcMg10
_chemical_formula_sum 'Sr1 Ac1 Mg10'
_symmetry_space_group_name_H-M 'P m m m'
_symmetry_Int_Tables_number 47
_symmetry_space_group_name_Hall '-P 2 2'
_cell_length_a 5.0294
_cell_length_b 6.1616
_cell_length_c 10.7221
_cell_angle_alpha 90.00
_cell_angle_beta 90.00
_cell_angle_gamma 90.00
loop_
_atom_site_label
_atom_site_fract_x
_atom_site_fract_y
_atom_site_fract_z
Sr1 0.0000 0.0000 0.0000
Ac1 0.0000 0.5000 0.5000
Mg1 0.0000 0.0000 0.3317
Mg2 0.0000 0.5000 0.1669
Mg3 0.5000 0.0000 0.5000
Mg4 0.5000 0.2534 0.2550
Mg5 0.5000 0.5000 0.0000

# PBE Sm2HoCd, optimized geometry
# V: 123 Å³/f.u.
# Theoretical density: 7.82 g/cm³
# Relative energy among the computed polymorphs: 0.115 eV per atom
# E_tot: -3.77 eV/atom
# Density of states at the Fermi level: 13.54 states/eV per cell
data_Sm2HoCd
_chemical_formula_sum 'Sm6 Ho3 Cd3'
_symmetry_space_group_name_H-M 'R 3 m'
_symmetry_Int_Tables_number 160
_symmetry_space_group_name_Hall 'R 3 -2"'
_cell_length_a 3.5795
_cell_length_b 3.5795
_cell_length_c 33.2025
_cell_angle_alpha 90.00
_cell_angle_beta 90.00
_cell_angle_gamma 120.00
loop_
_atom_site_label
_atom_site_fract_x
_atom_site_fract_y
_atom_site_fract_z
Sm1 0.0000 0.0000 0.0000
Sm2 0.0000 0.0000 0.1588
Ho1 0.0000 0.0000 0.5799
Cd1 0.0000 0.0000 0.4127